Entry 1:
The following is a DFT calculation (GGA-PBEsol) of Zr6Ni16Ge7 after structural relaxation.

Summary:
* mass density: 8.69 g/cm³
* formation energy: -658 meV per atom
* DFT total energy: -7.1283 eV/atom

Unit cell a=8.139 b=8.139 c=8.139 alpha=60.00 beta=60.00 gamma=60.00
Positions (direct):
Zr 0.207 0.207 0.793
Zr 0.207 0.793 0.207
Zr 0.207 0.793 0.793
Zr 0.793 0.207 0.207
Zr 0.793 0.207 0.793
Zr 0.793 0.793 0.207
Ni 0.144 0.619 0.619
Ni 0.169 0.169 0.169
Ni 0.169 0.169 0.493
Ni 0.169 0.493 0.169
Ni 0.381 0.381 0.381
Ni 0.381 0.381 0.856
Ni 0.381 0.856 0.381
Ni 0.493 0.169 0.169
Ni 0.507 0.831 0.831
Ni 0.619 0.144 0.619
Ni 0.619 0.619 0.144
Ni 0.619 0.619 0.619
Ni 0.831 0.507 0.831
Ni 0.831 0.831 0.507
Ni 0.831 0.831 0.831
Ni 0.856 0.381 0.381
Ge 0.000 0.000 0.500
Ge 0.000 0.500 0.000
Ge 0.000 0.500 0.500
Ge 0.500 0.000 0.000
Ge 0.500 0.000 0.500
Ge 0.500 0.500 0.000
Ge 0.500 0.500 0.500

Entry 2:
The following is a DFT calculation (GGA-PBEsol) of B2Mo2Ru after structural relaxation.

Summary:
* mass density: 9.64 g/cm³
* formation energy: -367 meV per atom
* DFT total energy: -9.9157 eV/atom

Unit cell a=5.911 b=5.911 c=3.101 alpha=90.00 beta=90.00 gamma=90.00
Positions (direct):
B 0.113 0.387 0.000
B 0.387 0.887 0.000
B 0.613 0.113 0.000
B 0.887 0.613 0.000
Mo 0.172 0.672 0.500
Mo 0.328 0.172 0.500
Mo 0.672 0.828 0.500
Mo 0.828 0.328 0.500
Ru 0.000 0.000 0.000
Ru 0.500 0.500 0.000

Q: Look up the DFT total energy of the second one.
A: -9.9157 eV/atom

Q: The lowest mass density belongs to which entry?
A: Zr6Ni16Ge7

Q: The lowest formation energy belongs to which entry?
A: Zr6Ni16Ge7